[1]
A geometry-optimized GeBNF2 structure. Source: the Alexandria database, functional PBE.

## Properties
Its formation energy without anion corrections is 0.188 eV per atom. The space group is P4/mmm. Its density of states at the Fermi level is 0.122 states/eV per cell.

```
GeBNF2
1.0
4.0593 0.0000 0.0000
0.0000 4.0593 0.0000
0.0000 0.0000 3.5440
Ge B N F
1 1 1 2
direct
0.0000 0.0000 0.0000
0.5000 0.5000 0.5000
0.0000 0.0000 0.5000
0.0000 0.5000 0.0000
0.5000 0.0000 0.0000
```

---

[2]
A geometry-optimized GeBN2F structure. Source: the Alexandria database, functional PBE.

## Properties
Its formation energy without anion corrections is 1.287 eV per atom. The space group is P4/mmm. Its density of states at the Fermi level is 1.972 states/eV per cell.

```
GeBN2F
1.0
3.7950 0.0000 0.0000
0.0000 3.7950 0.0000
0.0000 0.0000 3.8500
Ge B N F
1 1 2 1
direct
0.0000 0.0000 0.0000
0.5000 0.5000 0.5000
0.0000 0.5000 0.0000
0.5000 0.0000 0.0000
0.0000 0.0000 0.5000
```

---

[3]
A geometry-optimized GeBNF2 structure. Source: the Alexandria database, functional PBE.

## Properties
Its formation energy without anion corrections is -0.810 eV per atom. The space group is P4/mmm. Its density of states at the Fermi level is 2.424 states/eV per cell.

```
GeBNF2
1.0
4.4561 0.0000 0.0000
0.0000 4.4561 0.0000
0.0000 0.0000 2.7076
Ge B N F
1 1 1 2
direct
0.0000 0.0000 0.0000
0.5000 0.5000 0.5000
0.5000 0.5000 0.0000
0.0000 0.5000 0.5000
0.5000 0.0000 0.5000
```

---

Question: What is the formation energy without anion corrections in the second record?
Answer: 1.287 eV per atom